VASP calculation (PBE) on an optimized crystal structure of LaNiW2.

a b c (Å): 2.819 2.819 8.989
angles (deg): 90.00 90.00 90.00
Fractional coordinates of all 4 atoms:
1 La 0.000 0.000 0.521
2 W 0.500 0.500 0.218
3 W 0.000 0.000 0.971
4 Ni 0.500 0.500 0.791

Total moment: 0.0 μB/f.u.
ΔH_f (0 K): 0.44 eV per atom
D(E_F): 4.91 states/eV per cell